The following is a DFT calculation (meta-GGA SCAN) of a PBEsol-optimized structure of Pr2SeO2.

## Properties
Mass density = 6.69 Mg/m³
Spin magnetization = 0.0 μB/f.u.
Formation energy without anion corrections = -3.30 eV/atom

Unit cell a=4.0023 b=4.0023 c=7.0306 alpha=90.00 beta=90.00 gamma=120.00
Sites, in units of the cell vectors:
Pr 0.3333 0.6667 0.2876
Pr 0.6667 0.3333 0.7124
Se 0.0000 0.0000 0.0000
O 0.3333 0.6667 0.6260
O 0.6667 0.3333 0.3740